# 1
MnSi2O6 | PBEsol | relaxed

## Properties
Formation energy without anion corrections (eV per atom): -2.328
Size of the total moment (μB per formula unit): 3.000

```
MnSi2O6
1.0
-1.357 2.287 4.558
4.011 -2.337 4.276
3.627 5.149 0.406
O Si Mn
12 4 2
Direct
0.220 0.632 0.087 O
0.865 0.033 0.189 O
0.780 0.368 0.913 O
0.043 0.631 0.648 O
0.543 0.648 0.631 O
0.135 0.967 0.811 O
0.280 0.913 0.368 O
0.365 0.189 0.033 O
0.635 0.811 0.967 O
0.457 0.352 0.369 O
0.957 0.369 0.352 O
0.720 0.087 0.632 O
0.249 0.789 0.609 Si
0.751 0.211 0.391 Si
0.251 0.391 0.211 Si
0.749 0.609 0.789 Si
0.750 0.091 0.909 Mn
0.250 0.909 0.091 Mn
```

---

# 2
HfSc2Au2 | PBEsol | relaxed

## Properties
Size of the total moment (μB per formula unit): 0.000
Formation enthalpy at 0 K (kcal/mol of atoms): -13.436

```
HfSc2Au2
1.0
-0.248 0.427 3.345
-3.451 -6.799 0.612
6.804 -3.369 0.934
Sc Hf Au
4 2 4
Direct
0.500 0.665 0.835 Sc
0.500 0.335 0.165 Sc
0.500 0.835 0.335 Sc
0.500 0.165 0.665 Sc
0.000 0.500 0.500 Hf
0.000 0.000 0.000 Hf
0.000 0.367 0.867 Au
0.000 0.133 0.367 Au
0.000 0.867 0.633 Au
0.000 0.633 0.133 Au
```

---

# 3
NaNiHRu2 | PBEsol | relaxed

## Properties
Size of the total moment (μB per formula unit): 5.405
Raw total energy (eV per atom): -3.26

```
NaNiHRu2
1.0
4.216 0.000 0.000
0.000 4.593 0.000
0.000 0.000 4.593
Na Ru H Ni
1 2 1 1
Direct
0.000 0.000 0.000 Na
0.000 0.000 0.500 Ru
0.000 0.500 0.000 Ru
0.500 0.500 0.500 H
0.500 0.000 0.000 Ni
```

---

# 4
OsPdPt2 | PBEsol | relaxed

## Properties
Size of the total moment (μB per formula unit): 1.347
Formation enthalpy at 0 K (kcal/mol of atoms): 8.823

```
OsPdPt2
1.0
4.380 0.000 0.000
2.190 3.793 0.000
2.190 1.264 3.577
Os Pt Pd
1 2 1
Direct
0.500 0.500 0.500 Os
0.750 0.750 0.750 Pt
0.250 0.250 0.250 Pt
0.000 0.000 0.000 Pd
```

---

# 5
Mn4Ru5 | PBEsol | relaxed

## Properties
Size of the total moment (μB per formula unit): 6.475
Formation enthalpy at 0 K (kcal/mol of atoms): 3.397

```
Mn4Ru5
1.0
-3.348 0.340 1.511
-3.889 -2.447 -3.563
-1.000 -4.657 3.335
Mn Ru
4 5
Direct
0.330 0.670 0.670 Mn
0.670 0.330 0.330 Mn
0.000 0.330 0.670 Mn
0.000 0.670 0.330 Mn
0.332 0.000 0.337 Ru
0.668 0.000 0.663 Ru
0.000 0.000 0.000 Ru
0.332 0.337 0.000 Ru
0.668 0.663 0.000 Ru
```

---

# 6
CsTe | PBEsol | relaxed

## Properties
Formation energy without anion corrections (eV per atom): -0.864
Size of the total moment (μB per formula unit): 0.000

```
CsTe
1.0
4.958 0.000 0.000
0.000 6.037 0.000
0.000 0.000 11.402
Te Cs
4 4
Direct
0.000 0.862 0.901 Te
0.000 0.138 0.099 Te
0.000 0.362 0.599 Te
0.000 0.638 0.401 Te
0.500 0.832 0.637 Cs
0.500 0.332 0.863 Cs
0.500 0.668 0.137 Cs
0.500 0.168 0.363 Cs
```